An optimized crystal structure of AcHfMoO6. Source: the Alexandria database, functional PBE+U.

## Properties
* crystal system: tetragonal
* DFT total energy: -0.30718 Ha/atom

Cell: 5.077 5.077 10.161 Å, 90.00 90.00 90.00°
Fractional positions:
O  0.168  0.832  0.504
O  0.734  0.734  0.693
O  0.832  0.168  0.504
O  0.332  0.332  0.004
O  0.266  0.266  0.693
O  0.718  0.718  0.306
O  0.282  0.282  0.306
O  0.218  0.782  0.806
O  0.782  0.218  0.806
O  0.766  0.234  0.193
O  0.234  0.766  0.193
O  0.668  0.668  0.004
Ac  0.500  0.500  0.495
Ac  0.000  0.000  0.995
Mo  0.000  0.000  0.665
Mo  0.500  0.500  0.165
Hf  0.000  0.000  0.337
Hf  0.500  0.500  0.837